1.
DFT (PBE-GGA) results for a geometry-optimized PmPuCu10 structure.

The structure belongs to space group Pmmm (No. 47); the cell edges are 4.076, 5.115 and 8.809 Å and the angles 90.00°, 90.00° and 90.00°. Symmetry generates all atoms from Pm at (0.000, 0.000, 0.000), Pu at (0.000, 0.500, 0.500), Cu at (0.000, 0.000, 0.335), Cu at (0.000, 0.500, 0.168), Cu at (0.500, 0.000, 0.500), Cu at (0.500, 0.250, 0.251) and Cu at (0.500, 0.500, 0.000).

The density of states at the Fermi level comes out at 1.510 states/eV per atom. The value obtained for the energy is -5.098 eV/atom. The theoretical density is 9.26 g cm⁻³.

***

2.
DFT (PBE-GGA) results for a geometry-optimized CsCdPb structure.

The structure belongs to space group P-1 (No. 2); the cell edges are 5.324, 7.537 and 7.627 Å and the angles 102.76°, 102.89° and 104.04°. Symmetry generates all atoms from Cs at (0.249, 0.177, 0.312), Cd at (0.020, 0.401, 0.795) and Pb at (0.492, 0.719, 0.115).

The density of states at the Fermi level comes out at 0.107 states/eV per atom. The value obtained for the energy is -1.921 eV/atom. The theoretical density is 5.43 g cm⁻³.

***

3.
DFT (PBE-GGA) results for a geometry-optimized RbCd4Sb2 structure.

The structure belongs to space group R-3m (No. 166, hexagonal axes); the cell edges are 5.3142, 5.3142 and 27.6312 Å and the angles 90.00°, 90.00° and 120.00°. Symmetry generates all atoms from Rb at (0.0000, 0.0000, 0.0000), Cd at (0.0000, 0.0000, 0.1330), Cd at (0.0000, 0.0000, 0.4456) and Sb at (0.0000, 0.0000, 0.2393).

The density of states at the Fermi level comes out at 0.174 states/eV per atom. The value obtained for the energy is -1.939 eV/atom. The calculation puts the formation energy from raw total energies at -0.0999 eV per atom. The theoretical density is 5.74 g cm⁻³.

***

4.
DFT (PBE-GGA) results for a geometry-optimized TaRh2W structure.

The structure belongs to space group I4/mmm (No. 139); the cell edges are 3.968, 3.968 and 7.850 Å and the angles 90.00°, 90.00° and 90.00°. Symmetry generates all atoms from Ta at (0.000, 0.000, 0.000), Rh at (0.000, 0.500, 0.250) and W at (0.000, 0.000, 0.500).

The density of states at the Fermi level comes out at 0.768 states/eV per atom. The value obtained for the energy is -10.197 eV/atom. The theoretical density is 15.33 g cm⁻³.

***

5.
DFT (PBE-GGA) results for a geometry-optimized Rb2FeRh structure.

The structure belongs to space group I-42d (No. 122); the cell edges are 12.813, 12.813 and 4.627 Å and the angles 90.00°, 90.00° and 90.00°. Symmetry generates all atoms from Rb at (0.062, 0.250, 0.125), Fe at (0.000, 0.000, 0.500) and Rh at (0.000, 0.000, 0.000).

The density of states at the Fermi level comes out at 1.192 states/eV per atom. The value obtained for the energy is -3.635 eV/atom. The theoretical density is 2.88 g cm⁻³.

***

6.
DFT (PBE-GGA) results for a geometry-optimized HPd2Pb structure.

The structure belongs to space group Fm-3m (No. 225); the cell edges are 6.374, 6.374 and 6.374 Å and the angles 90.00°, 90.00° and 90.00°. Symmetry generates all atoms from H at (0.000, 0.000, 0.000), Pd at (0.250, 0.250, 0.250) and Pb at (0.000, 0.000, 0.500).

The density of states at the Fermi level comes out at 0.470 states/eV per atom. The value obtained for the energy is -4.006 eV/atom. The theoretical density is 10.80 g cm⁻³.

***

7.
DFT (PBE-GGA) results for a geometry-optimized MnCd2SnRh structure.

The structure belongs to space group P4/mmm (No. 123); the cell edges are 5.241, 5.241 and 4.995 Å and the angles 90.00°, 90.00° and 90.00°. Symmetry generates all atoms from Mn at (0.000, 0.000, 0.000), Cd at (0.000, 0.500, 0.500), Sn at (0.000, 0.000, 0.500) and Rh at (0.500, 0.500, 0.000).

The density of states at the Fermi level comes out at 0.739 states/eV per atom. The value obtained for the energy is -3.293 eV/atom. The theoretical density is 6.07 g cm⁻³.

***

8.
DFT (PBE-GGA) results for a geometry-optimized Tm6Ge3C structure.

The structure belongs to space group C2/m (No. 12); the cell edges are 11.794, 6.816 and 7.220 Å and the angles 90.00°, 122.49° and 90.00°. Symmetry generates all atoms from Tm at (0.071, 0.244, 0.342), Tm at (0.229, 0.000, 0.842), Ge at (0.000, 0.500, 0.000), Ge at (0.235, 0.500, 0.729) and C at (0.000, 0.000, 0.500).

The density of states at the Fermi level comes out at 0.732 states/eV per atom. The value obtained for the energy is -5.451 eV/atom. The theoretical density is 8.44 g cm⁻³.

***

Question: What is the formula in the sixth record?
Answer: HPd2Pb

***

Question: The lowest theoretical density belongs to which entry?
Answer: Rb2FeRh

***

Question: Number 1 is which compound?
Answer: PmPuCu10